Record 1
A plane-wave DFT calculation with PBE was carried out for AcTb2Cd2Hg2 after structural relaxation.

Computed properties:
SG ... R-3m, No. 166
Formation enthalpy at 0 K ... -0.281 eV per atom

Cell: 5.003 5.003 9.754 Å, 75.14 75.14 60.00°
Fractional coordinates of all 7 atoms:
Ac (0.000, 0.000, 0.000)
Hg (0.413, 0.413, 0.761)
Hg (0.587, 0.587, 0.239)
Cd (0.251, 0.251, 0.248)
Cd (0.749, 0.749, 0.752)
Tb (0.128, 0.128, 0.616)
Tb (0.872, 0.872, 0.384)


Record 2
A plane-wave DFT calculation with PBE was carried out for AcTbCdHg after structural relaxation.

Computed properties:
SG ... P4mm, No. 99
Formation enthalpy at 0 K ... -0.377 eV per atom
Excess energy over the best structure of this formula in the dataset ... 0.000 eV per atom

Cell: 3.856 3.856 7.991 Å, 90.00 90.00 90.00°
Fractional coordinates of all 4 atoms:
Cd (0.000, 0.000, 0.389)
Hg (0.000, 0.000, 0.821)
Ac (0.500, 0.500, 0.106)
Tb (0.500, 0.500, 0.612)


Record 3
A plane-wave DFT calculation with PBE was carried out for AcTbCdHg after structural relaxation.

Computed properties:
SG ... F-43m, No. 216
Formation enthalpy at 0 K ... -0.339 eV per atom
Excess energy over the best structure of this formula in the dataset ... 0.038 eV per atom

Cell: 5.543 5.543 5.543 Å, 60.00 60.00 60.00°
Fractional coordinates of all 4 atoms:
Ac (0.000, 0.000, 0.000)
Hg (0.250, 0.250, 0.250)
Cd (0.750, 0.750, 0.750)
Tb (0.500, 0.500, 0.500)


Record 4
A plane-wave DFT calculation with PBE was carried out for AcTb2CdHg4 after structural relaxation.

Computed properties:
SG ... R-3m, No. 166
Formation enthalpy at 0 K ... -0.399 eV per atom

Cell: 5.132 5.132 10.120 Å, 75.31 75.31 60.00°
Fractional coordinates of all 8 atoms:
Hg (0.124, 0.124, 0.627)
Hg (0.876, 0.876, 0.373)
Hg (0.611, 0.611, 0.168)
Hg (0.389, 0.389, 0.832)
Cd (0.500, 0.500, 0.500)
Tb (0.234, 0.234, 0.298)
Tb (0.766, 0.766, 0.702)
Ac (0.000, 0.000, 0.000)


Record 5
A plane-wave DFT calculation with PBE was carried out for Ac2TbCd3Hg12 after structural relaxation.

Computed properties:
SG ... R-3m, No. 166
Formation enthalpy at 0 K ... -0.148 eV per atom

Cell: 13.120 13.120 13.120 Å, 30.97 30.97 30.97°
Fractional coordinates of all 18 atoms:
Hg (0.872, 0.872, 0.415)
Hg (0.850, 0.406, 0.406)
Hg (0.585, 0.128, 0.128)
Hg (0.128, 0.585, 0.128)
Hg (0.594, 0.594, 0.150)
Hg (0.406, 0.406, 0.850)
Hg (0.128, 0.128, 0.585)
Hg (0.415, 0.872, 0.872)
Hg (0.594, 0.150, 0.594)
Hg (0.150, 0.594, 0.594)
Hg (0.872, 0.415, 0.872)
Hg (0.406, 0.850, 0.406)
Cd (0.000, 0.500, 0.000)
Cd (0.500, 0.000, 0.000)
Cd (0.000, 0.000, 0.500)
Tb (0.000, 0.000, 0.000)
Ac (0.364, 0.364, 0.364)
Ac (0.636, 0.636, 0.636)


Record 6
A plane-wave DFT calculation with PBE was carried out for AcThCdHg after structural relaxation.

Computed properties:
SG ... F-43m, No. 216
Formation enthalpy at 0 K ... -0.181 eV per atom

Cell: 5.572 5.572 5.572 Å, 60.00 60.00 60.00°
Fractional coordinates of all 4 atoms:
Cd (0.750, 0.750, 0.750)
Ac (0.000, 0.000, 0.000)
Hg (0.250, 0.250, 0.250)
Th (0.500, 0.500, 0.500)


Record 7
A plane-wave DFT calculation with PBE was carried out for Ac4TlCdHg2 after structural relaxation.

Computed properties:
SG ... R-3m, No. 166
Formation enthalpy at 0 K ... -0.390 eV per atom

Cell: 5.755 5.755 10.010 Å, 73.29 73.29 60.00°
Fractional coordinates of all 8 atoms:
Ac (0.126, 0.126, 0.623)
Ac (0.874, 0.874, 0.377)
Ac (0.376, 0.376, 0.873)
Ac (0.624, 0.624, 0.127)
Tl (0.000, 0.000, 0.000)
Hg (0.751, 0.751, 0.746)
Hg (0.249, 0.249, 0.254)
Cd (0.500, 0.500, 0.500)


Record 8
A plane-wave DFT calculation with PBE was carried out for Ac4Tl2CdHg after structural relaxation.

Computed properties:
SG ... R-3m, No. 166
Formation enthalpy at 0 K ... -0.366 eV per atom

Cell: 5.799 5.799 10.042 Å, 73.22 73.22 60.00°
Fractional coordinates of all 8 atoms:
Tl (0.748, 0.748, 0.755)
Tl (0.252, 0.252, 0.245)
Cd (0.000, 0.000, 0.000)
Ac (0.376, 0.376, 0.872)
Ac (0.874, 0.874, 0.378)
Ac (0.624, 0.624, 0.128)
Ac (0.126, 0.126, 0.622)
Hg (0.500, 0.500, 0.500)


Record 9
A plane-wave DFT calculation with PBE was carried out for Ac4TlCd2Hg after structural relaxation.

Computed properties:
SG ... R-3m, No. 166
Formation enthalpy at 0 K ... -0.350 eV per atom

Cell: 5.766 5.766 10.007 Å, 73.26 73.26 60.00°
Fractional coordinates of all 8 atoms:
Ac (0.873, 0.873, 0.380)
Ac (0.127, 0.127, 0.620)
Ac (0.623, 0.623, 0.130)
Ac (0.377, 0.377, 0.870)
Hg (0.500, 0.500, 0.500)
Tl (0.000, 0.000, 0.000)
Cd (0.251, 0.251, 0.247)
Cd (0.749, 0.749, 0.753)


Record 10
A plane-wave DFT calculation with PBE was carried out for AcTlCdHg after structural relaxation.

Computed properties:
SG ... F-43m, No. 216
Formation enthalpy at 0 K ... -0.329 eV per atom

Cell: 5.467 5.467 5.467 Å, 60.00 60.00 60.00°
Fractional coordinates of all 4 atoms:
Hg (0.500, 0.500, 0.500)
Ac (0.250, 0.250, 0.250)
Cd (0.750, 0.750, 0.750)
Tl (0.000, 0.000, 0.000)


Record 11
A plane-wave DFT calculation with PBE was carried out for AcTmCdHg after structural relaxation.

Computed properties:
SG ... F-43m, No. 216
Formation enthalpy at 0 K ... -0.323 eV per atom
Excess energy over the best structure of this formula in the dataset ... 0.045 eV per atom

Cell: 5.515 5.515 5.515 Å, 60.00 60.00 60.00°
Fractional coordinates of all 4 atoms:
Ac (0.000, 0.000, 0.000)
Cd (0.750, 0.750, 0.750)
Hg (0.250, 0.250, 0.250)
Tm (0.500, 0.500, 0.500)


Record 12
A plane-wave DFT calculation with PBE was carried out for AcTm2CdHg4 after structural relaxation.

Computed properties:
SG ... R-3m, No. 166
Formation enthalpy at 0 K ... -0.378 eV per atom

Cell: 5.059 5.059 10.175 Å, 75.61 75.61 60.00°
Fractional coordinates of all 8 atoms:
Hg (0.125, 0.125, 0.625)
Hg (0.392, 0.392, 0.824)
Hg (0.608, 0.608, 0.176)
Hg (0.875, 0.875, 0.375)
Ac (0.000, 0.000, 0.000)
Tm (0.234, 0.234, 0.299)
Tm (0.766, 0.766, 0.701)
Cd (0.500, 0.500, 0.500)


Q: What is the formation enthalpy at 0 K in the third record?
A: -0.339 eV per atom


Q: The highest formation enthalpy at 0 K belongs to which entry?
A: Ac2TbCd3Hg12


Q: The highest formation enthalpy at 0 K belongs to which entry?
A: Ac2TbCd3Hg12